# 1
## Ca3CuRh (PBE)

Data for crystalline Ca3CuRh at its relaxed geometry.

The formation energy comes out at 0.021 eV per atom. Its space group is Pm-3m.

a b c (Å): 5.3999 5.3999 5.3999
angles (deg): 90.00 90.00 90.00
Closest atoms and distances in Å follow each position.
Sites, in units of the cell vectors:
Ca: 0.0000 0.5000 0.0000  2 Rh 2.70
Ca: 0.0000 0.0000 0.5000  2 Rh 2.70
Ca: 0.5000 0.0000 0.0000  2 Rh 2.70
Rh: 0.0000 0.0000 0.0000  6 Ca 2.70
Cu: 0.5000 0.5000 0.5000  12 Ca 3.82

# 2
## Pu2HgC (PBE)

Data for crystalline Pu2HgC at its relaxed geometry.

The formation energy comes out at -0.070 eV per atom. Its space group is R3m.

a b c (Å): 3.4281 3.4281 8.7393
angles (deg): 78.69 78.69 60.01
Closest atoms and distances in Å follow each position.
Sites, in units of the cell vectors:
Pu: 0.0565 0.0565 0.8306  3 C 2.45
Pu: 0.2766 0.2766 0.1700  3 C 2.45
Hg: 0.5004 0.5004 0.4989  6 Hg 3.43, 6 Pu 3.43-3.45
C: 0.6665 0.6665 0.0005  6 Pu 2.45

# 3
## CeSnAu6 (PBE)

Data for crystalline CeSnAu6 at its relaxed geometry.

The formation energy comes out at -0.343 eV per atom. Its space group is P-1.

a b c (Å): 5.1729 4.9414 7.5978
angles (deg): 89.80 83.37 61.54
Closest atoms and distances in Å follow each position.
Sites, in units of the cell vectors:
Ce: 0.0000 0.5000 0.5000  14 Au 3.15-3.47
Sn: 0.0000 0.0000 0.0000  8 Au 2.82-2.92
Au: 0.3133 0.8426 0.6549  5 Au 2.78-3.08, 1 Sn 2.82
Au: 0.6299 0.1845 0.7137  7 Au 2.78-3.08, 1 Sn 2.92
Au: 0.2878 0.3565 0.0750  3 Sn 2.89-3.21, 5 Au 2.91-3.00
Au: 0.3701 0.8155 0.2863  7 Au 2.78-3.08, 1 Sn 2.92
Au: 0.6867 0.1574 0.3451  5 Au 2.78-3.08, 1 Sn 2.82
Au: 0.7122 0.6435 0.9250  3 Sn 2.89-3.21, 5 Au 2.91-3.00

# 4
## Cs3ZnSe (PBE)

Data for crystalline Cs3ZnSe at its relaxed geometry.

For the uncorrected formation energy, the calculation gives -0.417 eV per atom. Its space group is Pm-3m.

a b c (Å): 7.0189 7.0189 7.0189
angles (deg): 90.00 90.00 90.00
Closest atoms and distances in Å follow each position.
Sites, in units of the cell vectors:
Cs: 0.0000 0.5000 0.0000  2 Se 3.51
Cs: 0.0000 0.0000 0.5000  2 Se 3.51
Cs: 0.5000 0.0000 0.0000  2 Se 3.51
Zn: 0.5000 0.5000 0.5000  12 Cs 4.96
Se: 0.0000 0.0000 0.0000  6 Cs 3.51

# 5
## LaPr3Cl (PBE)

Data for crystalline LaPr3Cl at its relaxed geometry.

For the uncorrected formation energy, the calculation gives -0.520 eV per atom. Its space group is Pm-3m.

a b c (Å): 5.5681 5.5681 5.5681
angles (deg): 90.00 90.00 90.00
Closest atoms and distances in Å follow each position.
Sites, in units of the cell vectors:
Pr: 0.0000 0.5000 0.0000  2 Cl 2.78
Pr: 0.0000 0.0000 0.5000  2 Cl 2.78
Pr: 0.5000 0.0000 0.0000  2 Cl 2.78
Cl: 0.0000 0.0000 0.0000  6 Pr 2.78
La: 0.5000 0.5000 0.5000  12 Pr 3.94

# 6
## Cs3HfIn (PBE)

Data for crystalline Cs3HfIn at its relaxed geometry.

The formation energy comes out at 1.210 eV per atom. Its space group is Pm-3m.

a b c (Å): 7.2449 7.2449 7.2449
angles (deg): 90.00 90.00 90.00
Closest atoms and distances in Å follow each position.
Sites, in units of the cell vectors:
Cs: 0.0000 0.5000 0.0000  2 In 3.62
Cs: 0.0000 0.0000 0.5000  2 In 3.62
Cs: 0.5000 0.0000 0.0000  2 In 3.62
Hf: 0.5000 0.5000 0.5000  12 Cs 5.12
In: 0.0000 0.0000 0.0000  6 Cs 3.62

# 7
## RbCuBr2F (PBE)

Data for crystalline RbCuBr2F at its relaxed geometry.

For the uncorrected formation energy, the calculation gives -1.194 eV per atom. Its space group is P4/mmm.

a b c (Å): 5.3312 5.3312 4.0863
angles (deg): 90.00 90.00 90.00
Closest atoms and distances in Å follow each position.
Sites, in units of the cell vectors:
Cu: 0.0000 0.0000 0.0000  2 F 2.04
Br: 0.0000 0.5000 0.0000  2 Cu 2.67
Br: 0.5000 0.0000 0.0000  2 Cu 2.67
Rb: 0.5000 0.5000 0.5000  8 Br 3.36
F: 0.0000 0.0000 0.5000  2 Cu 2.04

# 8
## CsTiVN2 (PBE)

Data for crystalline CsTiVN2 at its relaxed geometry.

For the uncorrected formation energy, the calculation gives 0.961 eV per atom. Its space group is P4/mmm.

a b c (Å): 4.0527 4.7286 4.0527
angles (deg): 90.00 90.00 90.00
Closest atoms and distances in Å follow each position.
Sites, in units of the cell vectors:
Cs: 0.5000 0.5000 0.5000  4 Ti 2.87, 8 N 3.11
N: 0.0000 0.0000 0.5000  2 V 2.03
N: 0.5000 0.0000 0.0000  2 V 2.03
Ti: 0.0000 0.5000 0.0000  2 V 2.36
V: 0.0000 0.0000 0.0000  4 N 2.03